No. 1
The following is a PBE calculation of Sm4SnIr after structural relaxation, from Alexandria via LeMat-Bulk.

ΔE to the lowest computed polymorph = 0.145 eV/atom
SG = P2_1/c
ΔE_f = -0.44 eV per atom

a b c (Å): 7.545 7.207 7.146
angles (deg): 90.00 92.57 90.00
Fractional coordinates of all 12 atoms:
1 Sm 0.141 0.165 0.178
2 Sm 0.141 0.335 0.678
3 Sm 0.317 0.646 0.128
4 Sm 0.317 0.854 0.628
5 Sm 0.683 0.146 0.372
6 Sm 0.683 0.354 0.872
7 Sm 0.859 0.665 0.322
8 Sm 0.859 0.835 0.822
9 Sn 0.500 0.000 0.000
10 Sn 0.500 0.500 0.500
11 Ir 0.000 0.000 0.500
12 Ir 0.000 0.500 0.000



No. 2
The following is a PBE calculation of AcDy3Ho7 after structural relaxation, from Alexandria via LeMat-Bulk.

ΔE to the lowest computed polymorph = 0.000 eV/atom
SG = P2/m
ΔE_f = 0.15 eV per atom

a b c (Å): 6.988 5.572 9.834
angles (deg): 90.00 108.49 90.00
Fractional coordinates of all 11 atoms:
1 Ac 0.000 0.000 0.000
2 Dy 0.275 0.500 0.493
3 Dy 0.500 0.000 0.000
4 Dy 0.725 0.500 0.507
5 Ho 0.000 0.000 0.500
6 Ho 0.147 0.500 0.788
7 Ho 0.332 0.500 0.145
8 Ho 0.435 0.000 0.333
9 Ho 0.565 0.000 0.667
10 Ho 0.668 0.500 0.855
11 Ho 0.853 0.500 0.212



No. 3
The following is a PBE calculation of Dy2TlFe after structural relaxation, from Alexandria via LeMat-Bulk.

ΔE to the lowest computed polymorph = 0.306 eV/atom
SG = R-3m
ΔE_f = 0.20 eV per atom

a b c (Å): 10.108 10.108 10.108
angles (deg): 20.71 20.71 20.71
Fractional coordinates of all 4 atoms:
1 Dy 0.110 0.110 0.110
2 Dy 0.890 0.890 0.890
3 Tl 0.000 0.000 0.000
4 Fe 0.500 0.500 0.500